{"formula": "AgHgP2", "functional": "PBEsol", "state": "relaxed", "energy_ev_per_atom": -3.721, "delta_e_f_ev_per_fu": 0.6, "lattice_angstrom": [[3.2480, 0.0000, 0.0000], [1.6240, 3.9204, -0.0299], [1.6240, 1.4727, 5.9301]], "species": ["Ag", "Hg", "P", "P"], "fractional_positions": [[0.4640, 0.5338, 0.5383], [0.2726, 0.2137, 0.2411], [0.0814, 0.8514, 0.9858], [0.6821, 0.9011, 0.7348]]}

***

{"formula": "AgHgPS2", "functional": "PBEsol", "state": "relaxed", "energy_ev_per_atom": -2.796, "polymorph_energy_kj_per_mol_atoms": 0.00, "e_form_raw_ev_per_atom": 0.891, "lattice_angstrom": [[4.7582, 0.0000, 0.0000], [0.0000, 4.7621, 0.0000], [0.0000, 0.0000, 4.7621]], "species": ["P", "S", "S", "Hg", "Ag"], "fractional_positions": [[0.5000, 0.0000, 0.0000], [0.0000, 0.0000, 0.5000], [0.0000, 0.5000, 0.0000], [0.5000, 0.5000, 0.5000], [0.0000, 0.0000, 0.0000]]}

***

{"formula": "AgHgPS2", "functional": "PBEsol", "state": "relaxed", "energy_ev_per_atom": -2.545, "polymorph_energy_kj_per_mol_atoms": 24.21, "e_form_raw_ev_per_atom": 1.142, "lattice_angstrom": [[-4.5813, -0.1067, -1.6416], [-0.4346, -4.7185, 1.5195], [-1.6245, 1.5766, 4.4314]], "species": ["P", "S", "S", "Hg", "Ag"], "fractional_positions": [[0.5000, 0.0000, 0.0000], [0.0000, 0.0000, 0.5000], [0.0000, 0.5000, 0.0000], [0.0000, 0.0000, 0.0000], [0.5000, 0.5000, 0.5000]]}

***

{"formula": "Ag2HgPb", "functional": "PBEsol", "state": "relaxed", "energy_ev_per_atom": -2.640, "delta_e_f_ev_per_fu": 0.6, "lattice_angstrom": [[4.9215, 0.0000, 0.0000], [2.4607, 4.2621, 0.0000], [2.4607, 1.4207, 4.0184]], "species": ["Pb", "Hg", "Ag", "Ag"], "fractional_positions": [[0.7500, 0.7500, 0.7500], [0.5000, 0.5000, 0.5000], [0.0000, 0.0000, 0.0000], [0.2500, 0.2500, 0.2500]]}

***

{"formula": "AgHg2Pb", "functional": "PBEsol", "state": "relaxed", "energy_ev_per_atom": -2.040, "delta_e_f_ev_per_fu": 0.3, "lattice_angstrom": [[3.4531, 0.0000, 0.0000], [-1.7266, 4.6971, -0.0085], [0.0000, -1.1724, 5.6571]], "species": ["Pb", "Hg", "Hg", "Ag"], "fractional_positions": [[0.4916, 0.9832, 0.4821], [0.0067, 0.0135, 0.0158], [0.2551, 0.5102, 0.7808], [0.7465, 0.4931, 0.2213]]}

***

{"formula": "AgHgPb3", "functional": "PBEsol", "state": "relaxed", "energy_ev_per_atom": -2.783, "polymorph_energy_kj_per_mol_atoms": 0.00, "delta_e_f_ev_per_fu": 2.0, "lattice_angstrom": [[-2.5276, -4.7666, 0.2434], [4.1266, -2.0441, 2.8215], [-2.3981, 1.5064, 4.5987]], "species": ["Pb", "Pb", "Pb", "Hg", "Ag"], "fractional_positions": [[0.0000, 0.5000, 0.0000], [0.0000, 0.0000, 0.5000], [0.5000, 0.0000, 0.0000], [0.5000, 0.5000, 0.5000], [0.0000, 0.0000, 0.0000]]}

***

{"formula": "AgHgPb2", "functional": "PBEsol", "state": "relaxed", "energy_ev_per_atom": -2.901, "delta_e_f_ev_per_fu": 0.3, "lattice_angstrom": [[-3.0928, 1.2478, -0.2893], [-1.0408, -1.3765, 5.1891], [3.7290, 4.6808, -0.3086]], "species": ["Pb", "Pb", "Hg", "Ag"], "fractional_positions": [[0.9885, 0.9633, 0.9771], [0.7736, 0.3058, 0.5473], [0.2237, 0.7657, 0.4475], [0.5141, 0.4653, 0.0282]]}

***

{"formula": "AgHg2Pb", "functional": "PBEsol", "state": "relaxed", "energy_ev_per_atom": -2.031, "delta_e_f_ev_per_fu": 0.3, "lattice_angstrom": [[-0.7595, 1.0598, -4.3202], [0.2136, -4.3690, -1.1094], [-4.0997, 1.2696, 3.3890]], "species": ["Pb", "Hg", "Hg", "Ag"], "fractional_positions": [[0.5000, 0.5000, 0.0000], [0.0000, 0.0000, 0.0000], [0.7500, 0.2500, 0.5000], [0.2500, 0.7500, 0.5000]]}

***

{"formula": "AgHgPb2", "functional": "PBEsol", "state": "relaxed", "energy_ev_per_atom": -2.877, "delta_e_f_ev_per_fu": 0.4, "lattice_angstrom": [[-1.3498, -2.6447, 3.7986], [-1.6248, -3.4342, -2.9684], [5.2372, 1.2128, -0.3543]], "species": ["Pb", "Pb", "Hg", "Ag"], "fractional_positions": [[0.7500, 0.2500, 0.5000], [0.2500, 0.7500, 0.5000], [0.0000, 0.0000, 0.0000], [0.5000, 0.5000, 0.0000]]}

***

{"formula": "AgHgPb", "functional": "PBEsol", "state": "relaxed", "energy_ev_per_atom": -2.539, "polymorph_energy_kj_per_mol_atoms": 2.05, "delta_e_f_ev_per_fu": 0.3, "lattice_angstrom": [[4.7126, 0.0000, 0.0000], [2.3563, 4.0812, 0.0000], [2.3563, 1.3604, 3.8478]], "species": ["Pb", "Hg", "Ag"], "fractional_positions": [[0.5000, 0.5000, 0.5000], [0.0000, 0.0000, 0.0000], [0.7500, 0.7500, 0.7500]]}

***

{"formula": "AgHgPb2", "functional": "PBEsol", "state": "relaxed", "energy_ev_per_atom": -2.918, "delta_e_f_ev_per_fu": 0.2, "lattice_angstrom": [[3.6907, 0.0000, -0.0330], [0.0000, 4.6169, 0.0000], [-1.7940, 0.0000, 5.7949]], "species": ["Pb", "Pb", "Hg", "Ag"], "fractional_positions": [[0.0348, 0.0000, 0.9447], [0.7204, 0.5000, 0.3156], [0.4480, 0.5000, 0.7718], [0.2968, 0.0000, 0.4678]]}

***

{"formula": "Ag2HgPb", "functional": "PBEsol", "state": "relaxed", "energy_ev_per_atom": -2.731, "delta_e_f_ev_per_fu": 0.3, "lattice_angstrom": [[-0.8807, 3.1236, -1.3820], [-3.4155, -0.7959, 0.3777], [0.0434, 2.7466, 6.1801]], "species": ["Pb", "Hg", "Ag", "Ag"], "fractional_positions": [[0.5000, 0.5000, 0.7722], [0.0000, 0.0000, 0.4611], [0.0000, 0.0000, 0.0322], [0.5000, 0.5000, 0.2345]]}

***

{"formula": "Ag2HgPb", "functional": "PBEsol", "state": "relaxed", "energy_ev_per_atom": -2.715, "delta_e_f_ev_per_fu": 0.3, "lattice_angstrom": [[-0.6691, 0.7453, -3.1810], [2.6244, -2.2865, -1.0877], [-4.5496, -5.1080, -0.2396]], "species": ["Pb", "Hg", "Ag", "Ag"], "fractional_positions": [[0.5000, 0.5000, 0.5000], [0.5000, 0.5000, 0.0000], [0.9999, 0.0000, 0.7792], [0.0001, 0.0000, 0.2208]]}